ScRuPb2 | GGA-PBE | optimized geometry

Cell lengths 4.911, 4.911, 4.911 Å; angles 60.00, 60.00, 60.00 degrees
Element x y z (fractional)
Sc  0.000  0.000  0.000
Ru  0.500  0.500  0.500
Pb  0.250  0.250  0.250
Pb  0.750  0.750  0.750

E_form: 0.05 eV per atom
symmetry: Fm-3m
density: 11.11 g/cm3